Entry 1:
Computed, not measured: BeSb2Rh at its PBEsol-relaxed geometry at the SCAN level of DFT.

Output
electronic total energy = -27.929 eV/atom
formation energy from raw total energies = 0.93 eV per formula unit

abc: 3.147 3.214 7.168
angles: 90.00 98.78 90.00
Fractional coordinates of all 4 atoms:
Sb1 0.089 0.000 0.742
Sb2 0.911 0.000 0.258
Rh1 0.500 0.500 0.500
Be1 0.500 0.500 0.000

=====

Entry 2:
Computed, not measured: TaAlCr2 at its PBEsol-relaxed geometry at the SCAN level of DFT.

Output
electronic total energy = -27.869 eV/atom

abc: 2.882 2.882 6.587
angles: 90.00 90.00 90.00
Last column: magnetic moment on the atom in μB.
Fractional coordinates of all 4 atoms:
Ta1 0.000 0.000 0.482  0.07
Cr1 0.500 0.500 0.204  -1.60
Cr2 0.000 0.000 0.028  1.79
Al1 0.500 0.500 0.786  -0.03

=====

Entry 3:
Computed, not measured: BaMg3Ag at its PBEsol-relaxed geometry at the SCAN level of DFT.

Output
electronic total energy = -17.295 eV/atom

abc: 5.235 5.235 5.235
angles: 90.00 90.00 90.00
Fractional coordinates of all 5 atoms:
Mg1 0.000 0.500 0.000
Mg2 0.000 0.000 0.500
Mg3 0.500 0.000 0.000
Ag1 0.000 0.000 0.000
Ba1 0.500 0.500 0.500

=====

Entry 4:
Computed, not measured: Na4Cu6O5 at its PBEsol-relaxed geometry at the SCAN level of DFT.

Output
electronic total energy = -10.224 eV/atom
formation energy from raw total energies = -14.15 eV per formula unit

abc: 7.655 7.655 7.907
angles: 90.00 90.00 120.00
Fractional coordinates of all 30 atoms:
O1 0.333 0.667 0.442
O2 0.064 0.805 0.750
O3 0.936 0.741 0.250
O4 0.333 0.667 0.058
O5 0.805 0.064 0.250
O6 0.667 0.333 0.558
O7 0.741 0.936 0.750
O8 0.667 0.333 0.942
O9 0.259 0.195 0.250
O10 0.195 0.259 0.750
Na1 0.878 0.277 0.750
Na2 0.277 0.878 0.250
Na3 0.122 0.399 0.250
Na4 0.399 0.122 0.750
Na5 0.000 0.000 0.000
Na6 0.601 0.723 0.250
Na7 0.000 0.000 0.500
Na8 0.723 0.601 0.750
Cu1 0.830 0.544 0.410
Cu2 0.544 0.830 0.910
Cu3 0.544 0.830 0.590
Cu4 0.170 0.715 0.590
Cu5 0.285 0.456 0.910
Cu6 0.715 0.170 0.410
Cu7 0.715 0.170 0.090
Cu8 0.170 0.715 0.910
Cu9 0.830 0.544 0.090
Cu10 0.285 0.456 0.590
Cu11 0.456 0.285 0.090
Cu12 0.456 0.285 0.410